First-principles (PBE+U) data for SrMnSe2O8 after structural relaxation, as listed in the Alexandria database.

Output
**Density of states at the Fermi level**: 0.000 states/eV/atom
**Total DFT energy (no corrections)**: -214.741 eV for the cell shown

abc: 5.0977 5.0977 22.3971
angles: 90.00 90.00 120.00
With the nearest neighbours (Å) after each atom.
Space group R-3 (No. 148, hexagonal axes)
Inequivalent atoms, fractional coordinates:
Sr (0.0000, 0.0000, 0.0000) x3  12 O 2.95
Mn (0.0000, 0.0000, 0.5000) x3  6 O 2.22
Se (0.0000, 0.0000, 0.2478) x6  4 O 1.68
O (0.0000, 0.0000, 0.3226) x6  1 Se 1.68
O (0.0061, 0.6877, 0.7737) x18  1 Se 1.68